No. 1
A relaxed structure of In3Hg3Te, computed with PBE.

```
In3Hg3Te
1.0
8.0872 0.0000 0.0000
0.0000 8.0872 0.0000
0.0000 0.0000 8.0872
In Hg Te
6 6 2
direct
0.0000 0.2500 0.5000
0.0000 0.7500 0.5000
0.2500 0.5000 0.0000
0.5000 0.0000 0.2500
0.5000 0.0000 0.7500
0.7500 0.5000 0.0000
0.0000 0.5000 0.2500
0.0000 0.5000 0.7500
0.2500 0.0000 0.5000
0.5000 0.2500 0.0000
0.5000 0.7500 0.0000
0.7500 0.0000 0.5000
0.0000 0.0000 0.0000
0.5000 0.5000 0.5000
```

The magnetic moment is 0.000 μB per formula unit. The calculation puts the uncorrected formation energy at 2.146 eV/f.u. Its total energy is -1.45 eV/atom. Its excess energy over the best structure of this formula in the dataset is 361 meV/atom. Its crystal system is cubic. The calculation puts the density of states at the Fermi level at 3.65 states/eV/f.u. As for the symmetry: Pm-3n (223).

No. 2
A relaxed structure of LiThTe2, computed with PBE.

```
LiThTe2
1.0
3.8401 0.0000 0.0000
0.0000 3.8401 0.0000
0.0000 0.0000 7.6989
Li Th Te
1 1 2
direct
0.0000 0.0000 0.0000
0.0000 0.0000 0.5000
0.5000 0.5000 0.2573
0.5000 0.5000 0.7427
```

The magnetic moment is 0.000 μB per formula unit. The calculation puts the uncorrected formation energy at -4.089 eV/f.u. Its total energy is -4.93 eV/atom. Its crystal system is tetragonal. The calculation puts the density of states at the Fermi level at 1.61 states/eV/f.u. As for the symmetry: P4/mmm (123).

No. 3
A relaxed structure of LaMoRu2, computed with PBE.

```
LaMoRu2
1.0
2.1317 1.2307 5.3806
-2.1317 1.2307 5.3806
0.0000 -2.4614 5.3806
La Mo Ru
1 1 2
direct
0.0000 0.0000 0.0000
0.5000 0.5000 0.5000
0.2071 0.2071 0.2071
0.7929 0.7929 0.7929
```

The magnetic moment is 0.000 μB per formula unit. Its total energy is -8.46 eV/atom. Its excess energy over the best structure of this formula in the dataset is 66 meV/atom. Its crystal system is trigonal. The energy of formation from the pure elements is 0.118 eV/atom. The calculation puts the density of states at the Fermi level at 4.05 states/eV/f.u. As for the symmetry: R-3m (166).

No. 4
A relaxed structure of Bi3TeH, computed with PBE.

```
Bi3TeH
1.0
5.9567 0.0000 0.0000
0.0000 5.9567 0.0000
0.0000 0.0000 5.9567
Bi Te H
3 1 1
direct
0.0000 0.0000 0.5000
0.0000 0.5000 0.0000
0.5000 0.0000 0.0000
0.0000 0.0000 0.0000
0.5000 0.5000 0.5000
```

The magnetic moment is 0.547 μB per formula unit. Its total energy is -2.49 eV/atom. Its excess energy over the best structure of this formula in the dataset is 740 meV/atom. Its crystal system is cubic. The calculation puts the density of states at the Fermi level at 7.03 states/eV/f.u. As for the symmetry: Pm-3m (221).

Q: magnetic moment of number 1 (In3Hg3Te)?
A: 0.000 μB per formula unit

Q: Number 3 is which compound?
A: LaMoRu2

Q: Which of these has the highest magnetic moment?
A: Bi3TeH

Copy entry 1 word for word.
A relaxed structure of In3Hg3Te, computed with PBE.

```
In3Hg3Te
1.0
8.0872 0.0000 0.0000
0.0000 8.0872 0.0000
0.0000 0.0000 8.0872
In Hg Te
6 6 2
direct
0.0000 0.2500 0.5000
0.0000 0.7500 0.5000
0.2500 0.5000 0.0000
0.5000 0.0000 0.2500
0.5000 0.0000 0.7500
0.7500 0.5000 0.0000
0.0000 0.5000 0.2500
0.0000 0.5000 0.7500
0.2500 0.0000 0.5000
0.5000 0.2500 0.0000
0.5000 0.7500 0.0000
0.7500 0.0000 0.5000
0.0000 0.0000 0.0000
0.5000 0.5000 0.5000
```

The magnetic moment is 0.000 μB per formula unit. The calculation puts the uncorrected formation energy at 2.146 eV/f.u. Its total energy is -1.45 eV/atom. Its excess energy over the best structure of this formula in the dataset is 361 meV/atom. Its crystal system is cubic. The calculation puts the density of states at the Fermi level at 3.65 states/eV/f.u. As for the symmetry: Pm-3n (223).